Computed, not measured: a relaxed PrEuSc2 crystal at the PBE level of DFT.

Output
**ΔE to the lowest computed polymorph**: 0 meV/atom
**ΔE_f**: 133 meV per atom
**V**: 30.66 A^3/atom
**Crystal system**: tetragonal
**VASP energy**: -27.2 eV/cell
**Spin magnetization**: 7.88 Bohr magnetons per cell

Unit cell a=3.6197 b=3.6197 c=9.3609 alpha=90.00 beta=90.00 gamma=90.00
Last column: magnetic moment on the atom in μB.
Atoms (fractional coordinates):
Eu: 0.5000 0.5000 0.0000  -6.95
Pr: 0.5000 0.5000 0.5000  0.03
Sc: 0.0000 0.0000 0.7401  -0.15
Sc: 0.0000 0.0000 0.2599  -0.15